## La2InSi (PBE)

Data for an optimized crystal structure of La2InSi.

## Properties
Total magnetization (μB per cell): 0.0
SG: No. 216
Formation energy from raw total energies (meV/atom): 32
Electronic total energy (eV/atom): -4.472

Lattice parameters (Å, degrees): 5.340 5.340 5.340 60.00 60.00 60.00
Atoms (fractional coordinates):
In 0.500 0.500 0.500
La 0.000 0.000 0.000
La 0.250 0.250 0.250
Si 0.750 0.750 0.750